! KHoGeTe3 (PBE, optimized geometry); values from VASP
&SYSTEM
  ibrav = 0, nat = 12, ntyp = 4
/
ATOMIC_SPECIES
Ge 72.64 Ge.upf
Ho 164.93 Ho.upf
K 39.10 K.upf
Te 127.60 Te.upf
CELL_PARAMETERS angstrom
-1.509 8.398 -3.359
-3.498 -1.434 -2.012
-5.422 -1.134 10.238
ATOMIC_POSITIONS angstrom
Ge -3.879 2.335 2.803
Ge -6.551 3.495 2.064
Ho -3.692 -0.138 -0.318
Ho -6.738 5.968 5.185
K -5.243 4.735 -1.094
K -5.187 1.095 5.960
Te -2.784 6.933 -2.378
Te -2.652 2.682 0.422
Te -5.236 -0.155 2.379
Te -5.194 5.985 2.488
Te -7.778 3.148 4.445
Te -7.646 -1.103 7.244
! - energy relative to the lowest polymorph listed for this composition (kcal/mol of atoms) = 0.000
! - crystal system = monoclinic
! - SG = P2_1/m, No. 11